VSe2F | PBE with a Hubbard U | optimized geometry

Cell lengths 6.8737, 6.8737, 6.8737 Å; angles 129.48, 129.48, 74.24 degrees
With the nearest neighbours (Å) after each atom.
Fractional positions:
V 0.0000 0.0000 0.0000  4 Se 2.38
V 0.7500 0.2500 0.5000  4 Se 2.38
Se 0.0930 0.6250 0.9680  2 V 2.38, 2 F 2.60
Se 0.3750 0.3430 0.4680  2 V 2.38, 2 F 2.60
Se 0.6570 0.1250 0.0320  2 V 2.38, 2 F 2.60
Se 0.8750 0.9070 0.5320  2 V 2.38, 2 F 2.60
F 0.2500 0.7500 0.5000  4 Se 2.60
F 0.5000 0.5000 0.0000  4 Se 2.60

## Properties
The calculation puts the calculated density at 4.0 g/cm3. For the magnetic moment, the calculation gives 0.1 μB/f.u. The value obtained for the raw total energy is -4.2511 eV/atom. Its crystal system is tetragonal. The relative energy among the computed polymorphs is 1.354 eV/f.u. For the density of states at the Fermi level, the calculation gives 1.243 states/eV/f.u.